# CdB2H

A geometry-optimized CdB2H structure (PBE-GGA, Alexandria via LeMat-Bulk).

Results
Energy in eV per atom: -2.518
Volume in Å³/cell: 43.3
Fermi-level density of states in states/eV/f.u.: 1.63

Cell: 3.941 3.941 3.941 Å, 60.00 60.00 60.00°
Fractional positions:
Cd (0.000, 0.000, 0.000)
B (0.250, 0.250, 0.250)
B (0.750, 0.750, 0.750)
H (0.500, 0.500, 0.500)


# CdB2H

A geometry-optimized CdB2H structure (PBE-GGA, Alexandria via LeMat-Bulk).

Results
Energy in eV per atom: -3.578
Volume in Å³/cell: 79.8
Fermi-level density of states in states/eV/f.u.: 1.14

Cell: 7.423 7.423 7.423 Å, 153.77 153.77 37.44°
Fractional positions:
Cd (0.375, 0.625, 0.750)
Cd (0.625, 0.375, 0.250)
B (0.000, 0.000, 0.000)
B (0.000, 0.000, 0.500)
B (0.000, 0.500, 0.000)
B (0.500, 0.000, 0.500)
H (0.125, 0.875, 0.250)
H (0.875, 0.125, 0.750)


# CdBH6I

A geometry-optimized CdBH6I structure (PBE-GGA, Alexandria via LeMat-Bulk).

Results
Energy in eV per atom: -3.091
Volume in Å³/cell: 148.1
Fermi-level density of states in states/eV/f.u.: 0.00

Cell: 7.250 7.250 4.237 Å, 90.02 90.02 138.33°
Fractional positions:
Cd (0.000, 0.000, 0.000)
B (0.692, 0.308, 0.000)
H (0.553, 0.053, 0.893)
H (0.554, 0.053, 0.108)
H (0.644, 0.355, 0.763)
H (0.645, 0.356, 0.237)
H (0.947, 0.446, 0.892)
H (0.947, 0.447, 0.107)
I (0.330, 0.670, 0.500)


# Cd2BHIr

A geometry-optimized Cd2BHIr structure (PBE-GGA, Alexandria via LeMat-Bulk).

Results
Energy in eV per atom: -3.383
Volume in Å³/cell: 85.6
Fermi-level density of states in states/eV/f.u.: 3.46

Cell: 4.644 4.644 3.971 Å, 90.00 90.00 90.00°
Fractional positions:
Cd (0.000, 0.500, 0.000)
Cd (0.500, 0.000, 0.000)
B (0.000, 0.000, 0.000)
H (0.500, 0.500, 0.500)
Ir (0.000, 0.000, 0.500)


# MgCd2BH

A geometry-optimized MgCd2BH structure (PBE-GGA, Alexandria via LeMat-Bulk).

Results
Energy in eV per atom: -1.848
Volume in Å³/cell: 77.1
Fermi-level density of states in states/eV/f.u.: 1.71

Cell: 4.271 4.271 4.229 Å, 90.00 90.00 90.00°
Fractional positions:
Mg (0.000, 0.000, 0.000)
Cd (0.000, 0.500, 0.500)
Cd (0.500, 0.000, 0.500)
B (0.500, 0.500, 0.000)
H (0.500, 0.500, 0.500)


# CdB6H12N4O10

A geometry-optimized CdB6H12N4O10 structure (PBE-GGA, Alexandria via LeMat-Bulk).

Results
Energy in eV per atom: -6.365
Volume in Å³/cell: 527.3
Fermi-level density of states in states/eV/f.u.: 0.00

Cell: 12.644 6.697 12.831 Å, 73.22 30.47 76.31°
Fractional positions:
Cd (0.000, 0.000, 0.000)
Cd (0.250, 0.250, 0.250)
B (0.043, 0.849, 0.596)
B (0.176, 0.804, 0.301)
B (0.348, 0.622, 0.706)
B (0.532, 0.949, 0.446)
B (0.544, 0.926, 0.902)
B (0.622, 0.348, 0.324)
B (0.654, 0.737, 0.207)
B (0.737, 0.654, 0.401)
B (0.804, 0.176, 0.718)
B (0.849, 0.043, 0.513)
B (0.926, 0.544, 0.628)
B (0.949, 0.532, 0.074)
H (0.012, 0.161, 0.752)
H (0.057, 0.754, 0.766)
H (0.161, 0.012, 0.074)
H (0.176, 0.498, 0.089)
H (0.213, 0.235, 0.648)
H (0.235, 0.213, 0.904)
H (0.236, 0.637, 0.561)
H (0.276, 0.875, 0.524)
H (0.346, 0.602, 0.015)
H (0.354, 0.984, 0.830)
H (0.418, 0.420, 0.266)
H (0.420, 0.418, 0.896)
H (0.484, 0.827, 0.193)
H (0.498, 0.176, 0.238)
H (0.602, 0.346, 0.037)
H (0.637, 0.236, 0.567)
H (0.683, 0.689, 0.613)
H (0.689, 0.683, 0.014)
H (0.726, 0.925, 0.974)
H (0.754, 0.057, 0.423)
H (0.827, 0.484, 0.496)
H (0.875, 0.276, 0.325)
H (0.925, 0.726, 0.375)
H (0.984, 0.354, 0.832)
N (0.053, 0.215, 0.783)
N (0.158, 0.774, 0.614)
N (0.215, 0.053, 0.950)
N (0.300, 0.467, 0.035)
N (0.467, 0.300, 0.197)
N (0.636, 0.796, 0.092)
N (0.774, 0.158, 0.454)
N (0.796, 0.636, 0.476)
O (0.039, 0.940, 0.336)
O (0.086, 0.586, 0.416)
O (0.173, 0.494, 0.875)
O (0.207, 0.885, 0.371)
O (0.338, 0.834, 0.664)
O (0.375, 0.792, 0.077)
O (0.494, 0.173, 0.458)
O (0.533, 0.539, 0.350)
O (0.539, 0.533, 0.579)
O (0.565, 0.914, 0.310)
O (0.586, 0.086, 0.912)
O (0.671, 0.900, 0.711)
O (0.713, 0.879, 0.365)
O (0.792, 0.375, 0.756)
O (0.834, 0.338, 0.164)
O (0.879, 0.713, 0.043)
O (0.885, 0.207, 0.537)
O (0.900, 0.671, 0.717)
O (0.914, 0.565, 0.211)
O (0.940, 0.039, 0.685)


# NaCdB2H8

A geometry-optimized NaCdB2H8 structure (PBE-GGA, Alexandria via LeMat-Bulk).

Results
Energy in eV per atom: -3.614
Volume in Å³/cell: 118.9
Fermi-level density of states in states/eV/f.u.: 1.24

Cell: 4.466 4.466 7.233 Å, 112.94 112.94 69.29°
Fractional positions:
Na (0.000, 0.000, 0.000)
Cd (0.500, 0.500, 0.500)
B (0.208, 0.208, 0.764)
B (0.792, 0.792, 0.236)
H (0.022, 0.022, 0.702)
H (0.058, 0.447, 0.687)
H (0.310, 0.310, 0.956)
H (0.447, 0.058, 0.687)
H (0.553, 0.942, 0.313)
H (0.690, 0.690, 0.044)
H (0.942, 0.553, 0.313)
H (0.978, 0.978, 0.298)


# Cd2BHO4

A geometry-optimized Cd2BHO4 structure (PBE-GGA, Alexandria via LeMat-Bulk).

Results
Energy in eV per atom: -5.136
Volume in Å³/cell: 209.2

Cell: 6.568 6.568 7.516 Å, 124.84 124.84 58.69°
Fractional positions:
Cd (0.000, 0.000, 0.000)
Cd (0.000, 0.000, 0.500)
Cd (0.000, 0.500, 0.000)
Cd (0.500, 0.000, 0.500)
B (0.500, 0.500, 0.000)
B (0.500, 0.500, 0.500)
H (0.000, 0.500, 0.500)
H (0.500, 0.000, 0.000)
O (0.107, 0.254, 0.430)
O (0.254, 0.107, 0.930)
O (0.328, 0.670, 0.419)
O (0.330, 0.672, 0.081)
O (0.670, 0.328, 0.919)
O (0.672, 0.330, 0.581)
O (0.746, 0.893, 0.070)
O (0.893, 0.746, 0.570)


# Cd2BHPd6

A geometry-optimized Cd2BHPd6 structure (PBE-GGA, Alexandria via LeMat-Bulk).

Results
Energy in eV per atom: -4.695
Volume in Å³/cell: 141.9
Fermi-level density of states in states/eV/f.u.: 1.39

Cell: 5.852 5.852 5.852 Å, 120.05 119.75 90.17°
Fractional positions:
Cd (0.249, 0.249, 0.000)
Cd (0.751, 0.751, 0.000)
B (0.000, 0.500, 0.500)
H (0.500, 0.000, 0.500)
Pd (0.253, 0.753, 0.500)
Pd (0.254, 0.248, 0.502)
Pd (0.254, 0.752, 0.006)
Pd (0.746, 0.248, 0.994)
Pd (0.746, 0.752, 0.498)
Pd (0.747, 0.247, 0.500)


# CdBHPt3

A geometry-optimized CdBHPt3 structure (PBE-GGA, Alexandria via LeMat-Bulk).

Results
Energy in eV per atom: -4.991
Volume in Å³/cell: 164.3
Fermi-level density of states in states/eV/f.u.: 1.41

Cell: 5.999 5.999 5.547 Å, 90.00 90.00 124.60°
Fractional positions:
Cd (0.230, 0.770, 0.750)
Cd (0.770, 0.230, 0.250)
B (0.096, 0.904, 0.250)
B (0.904, 0.096, 0.750)
H (0.499, 0.501, 0.750)
H (0.501, 0.499, 0.250)
Pt (0.245, 0.245, 0.000)
Pt (0.245, 0.245, 0.500)
Pt (0.286, 0.714, 0.250)
Pt (0.714, 0.286, 0.750)
Pt (0.755, 0.755, 0.000)
Pt (0.755, 0.755, 0.500)


# Cd3B2HPt9

A geometry-optimized Cd3B2HPt9 structure (PBE-GGA, Alexandria via LeMat-Bulk).

Results
Energy in eV per atom: -5.202
Volume in Å³/cell: 221.6
Fermi-level density of states in states/eV/f.u.: 3.59

Cell: 6.023 6.023 7.055 Å, 90.00 90.00 120.00°
Fractional positions:
Cd (0.000, 0.000, 0.000)
Cd (0.333, 0.667, 0.665)
Cd (0.667, 0.333, 0.335)
B (0.333, 0.667, 0.184)
B (0.667, 0.333, 0.816)
H (0.000, 0.000, 0.500)
Pt (0.000, 0.500, 0.000)
Pt (0.162, 0.325, 0.336)
Pt (0.162, 0.838, 0.336)
Pt (0.325, 0.162, 0.664)
Pt (0.500, 0.000, 0.000)
Pt (0.500, 0.500, 0.000)
Pt (0.675, 0.838, 0.336)
Pt (0.838, 0.162, 0.664)
Pt (0.838, 0.675, 0.664)


# Cd2BHPt6

A geometry-optimized Cd2BHPt6 structure (PBE-GGA, Alexandria via LeMat-Bulk).

Results
Energy in eV per atom: -5.093
Volume in Å³/cell: 144.8
Fermi-level density of states in states/eV/f.u.: 0.62

Cell: 5.892 5.892 5.888 Å, 119.95 119.95 89.95°
Fractional positions:
Cd (0.249, 0.751, 0.000)
Cd (0.751, 0.249, 0.000)
B (0.999, 0.999, 0.497)
H (0.493, 0.493, 0.486)
Pt (0.254, 0.254, 0.006)
Pt (0.254, 0.746, 0.500)
Pt (0.255, 0.255, 0.502)
Pt (0.745, 0.745, 0.498)
Pt (0.745, 0.745, 0.991)
Pt (0.746, 0.254, 0.500)